[1]
The following is a DFT calculation (PBE-GGA) of a relaxed structure of Pm2PrTm.

Properties
Mass density in g cm⁻³: 7.38
Space group: P4/mmm (123)
Density of states at the Fermi level in states/eV/atom: 1.456
Relative energy among the computed polymorphs in kJ per mole of atoms: 0.6
E in eV per cell: -18.66
Energy relative to the elements in meV per atom: 23

Cell lengths 3.626, 3.626, 10.268 Å; angles 90.00, 90.00, 90.00 degrees
Positions (direct):
Pm: 0.000 0.000 0.243
Pm: 0.000 0.000 0.757
Pr: 0.500 0.500 0.500
Tm: 0.500 0.500 0.000

[2]
The following is a DFT calculation (PBE-GGA) of a relaxed structure of MgW2Br.

Properties
Mass density in g cm⁻³: 10.00
Space group: I-42d (122)
Density of states at the Fermi level in states/eV/atom: 0.973
Relative energy among the computed polymorphs in kJ per mole of atoms: 61.4
E in eV per cell: -50.99
Formation energy from raw total energies in eV/atom: 0.920

Cell lengths 11.386, 11.386, 11.386 Å; angles 160.98, 160.98, 27.02 degrees
Positions (direct):
Mg: 0.000 0.000 0.000
Mg: 0.750 0.250 0.500
W: 0.105 0.625 0.980
W: 0.375 0.355 0.480
W: 0.645 0.125 0.020
W: 0.875 0.895 0.520
Br: 0.250 0.750 0.500
Br: 0.500 0.500 0.000

[3]
The following is a DFT calculation (PBE-GGA) of a relaxed structure of PrMg3Rh.

Properties
Mass density in g cm⁻³: 4.31
Space group: Amm2 (38)
Density of states at the Fermi level in states/eV/atom: 0.577
Relative energy among the computed polymorphs in kJ per mole of atoms: 10.1
E in eV per cell: -18.11
Energy relative to the elements in meV per atom: -240

Cell lengths 4.683, 6.010, 6.010 Å; angles 46.17, 90.00, 90.00 degrees
Positions (direct):
Pr: 0.000 0.000 0.000
Mg: 0.000 0.713 0.713
Mg: 0.500 0.228 0.228
Mg: 0.500 0.494 0.494
Rh: 0.000 0.349 0.349

[4]
The following is a DFT calculation (PBE-GGA) of a relaxed structure of HfPa2SiN6.

Properties
Mass density in g cm⁻³: 9.46
Space group: P4mm (99)
E in eV per cell: -96.66
Formation energy from raw total energies in eV/atom: -1.234

Cell lengths 5.235, 5.235, 4.820 Å; angles 90.00, 90.00, 90.00 degrees
Positions (direct):
Hf: 0.000 0.000 0.000
Pa: 0.000 0.500 0.426
Pa: 0.500 0.000 0.426
Si: 0.500 0.500 0.021
N: 0.000 0.000 0.579
N: 0.265 0.265 0.154
N: 0.265 0.735 0.154
N: 0.500 0.500 0.655
N: 0.735 0.265 0.154
N: 0.735 0.735 0.154

[5]
The following is a DFT calculation (PBE-GGA) of a relaxed structure of MgBBr2.

Properties
Mass density in g cm⁻³: 3.01
Space group: R-3m (166)
Density of states at the Fermi level in states/eV/atom: 0.339
Relative energy among the computed polymorphs in kJ per mole of atoms: 0.0
E in eV per cell: -10.50
Formation energy from raw total energies in eV/atom: 0.279

Cell lengths 9.186, 9.186, 9.186 Å; angles 23.40, 23.40, 23.40 degrees
Positions (direct):
Mg: 0.000 0.000 0.000
B: 0.500 0.500 0.500
Br: 0.392 0.392 0.392
Br: 0.608 0.608 0.608

[6]
The following is a DFT calculation (PBE-GGA) of a relaxed structure of DyAg2Br6.

Properties
Mass density in g cm⁻³: 4.33
Space group: C2/c (15)
Density of states at the Fermi level in states/eV/atom: 0.816
E in eV per cell: -57.50
Formation energy from raw total energies in eV/atom: -0.934

Cell lengths 9.904, 9.904, 7.155 Å; angles 104.59, 104.59, 86.17 degrees
Positions (direct):
Dy: 0.082 0.918 0.750
Dy: 0.918 0.082 0.250
Ag: 0.317 0.509 0.839
Ag: 0.491 0.683 0.661
Ag: 0.509 0.317 0.339
Ag: 0.683 0.491 0.161
Br: 0.050 0.182 0.656
Br: 0.086 0.650 0.814
Br: 0.182 0.050 0.156
Br: 0.303 0.470 0.435
Br: 0.350 0.914 0.686
Br: 0.470 0.303 0.935
Br: 0.530 0.697 0.065
Br: 0.650 0.086 0.314
Br: 0.697 0.530 0.565
Br: 0.818 0.950 0.844
Br: 0.914 0.350 0.186
Br: 0.950 0.818 0.344

[7]
The following is a DFT calculation (PBE-GGA) of a relaxed structure of CaCoRe2.

Properties
Mass density in g cm⁻³: 11.11
Space group: Cm (8)
Density of states at the Fermi level in states/eV/atom: 1.073
Relative energy among the computed polymorphs in kJ per mole of atoms: 18.3
E in eV per cell: -31.88
Energy relative to the elements in meV per atom: 532

Cell lengths 4.674, 4.674, 5.684 Å; angles 98.78, 98.78, 35.10 degrees
Positions (direct):
Ca: 0.000 0.000 0.000
Co: 0.763 0.763 0.292
Re: 0.225 0.225 0.640
Re: 0.482 0.482 0.492

[8]
The following is a DFT calculation (PBE-GGA) of a relaxed structure of AlCr2Ru.

Properties
Mass density in g cm⁻³: 7.42
Space group: P4mm (99)
Density of states at the Fermi level in states/eV/atom: 0.737
E in eV per cell: -32.97
Energy relative to the elements in meV per atom: -176

Cell lengths 2.979, 2.979, 5.853 Å; angles 90.00, 90.00, 90.00 degrees
Positions (direct):
Al: 0.000 0.000 0.000
Cr: 0.000 0.000 0.478
Cr: 0.500 0.500 0.273
Ru: 0.500 0.500 0.754

[9]
The following is a DFT calculation (PBE-GGA) of a relaxed structure of CaCe2ReN4.

Properties
Mass density in g cm⁻³: 7.06
Space group: Cmcm (63)
Density of states at the Fermi level in states/eV/atom: 0.547
E in eV per cell: -133.55
Formation energy from raw total energies in eV/atom: -0.895

Cell lengths 6.191, 6.191, 12.506 Å; angles 90.00, 90.00, 146.49 degrees
Positions (direct):
Ca: 0.061 0.939 0.750
Ca: 0.939 0.061 0.250
Ce: 0.367 0.633 0.548
Ce: 0.367 0.633 0.952
Ce: 0.633 0.367 0.048
Ce: 0.633 0.367 0.452
Re: 0.191 0.809 0.250
Re: 0.809 0.191 0.750
N: 0.000 0.000 0.000
N: 0.000 0.000 0.500
N: 0.253 0.747 0.106
N: 0.253 0.747 0.394
N: 0.394 0.606 0.750
N: 0.606 0.394 0.250
N: 0.747 0.253 0.606
N: 0.747 0.253 0.894

[10]
The following is a DFT calculation (PBE-GGA) of a relaxed structure of YPaPt.

Properties
Mass density in g cm⁻³: 12.24
Space group: P3m1 (156)
Density of states at the Fermi level in states/eV/atom: 1.099
Relative energy among the computed polymorphs in kJ per mole of atoms: 23.6
E in eV per cell: -22.97
Energy relative to the elements in meV per atom: -322

Cell lengths 4.780, 4.780, 3.529 Å; angles 90.00, 90.00, 120.00 degrees
Positions (direct):
Y: 0.000 0.000 0.000
Pa: 0.333 0.667 0.617
Pt: 0.667 0.333 0.376

[11]
The following is a DFT calculation (PBE-GGA) of a relaxed structure of Pm2Pr5NdTh.

Properties
Mass density in g cm⁻³: 7.05
Space group: Cmc2_1 (36)
Density of states at the Fermi level in states/eV/atom: 1.378
E in eV per cell: -88.46
Energy relative to the elements in meV per atom: 151

Cell lengths 10.795, 10.795, 10.689 Å; angles 90.00, 90.00, 148.78 degrees
Positions (direct):
Pm: 0.116 0.884 0.500
Pm: 0.116 0.884 0.915
Pm: 0.884 0.116 0.000
Pm: 0.884 0.116 0.415
Pr: 0.015 0.985 0.212
Pr: 0.275 0.725 0.916
Pr: 0.294 0.706 0.528
Pr: 0.386 0.614 0.207
Pr: 0.480 0.520 0.490
Pr: 0.520 0.480 0.990
Pr: 0.614 0.386 0.707
Pr: 0.706 0.294 0.028
Pr: 0.725 0.275 0.416
Pr: 0.985 0.015 0.712
Nd: 0.408 0.592 0.780
Nd: 0.592 0.408 0.280
Th: 0.199 0.801 0.220
Th: 0.801 0.199 0.720

[12]
The following is a DFT calculation (PBE-GGA) of a relaxed structure of LaTl.

Properties
Mass density in g cm⁻³: 8.97
Space group: Cm (8)
Density of states at the Fermi level in states/eV/atom: 0.848
E in eV per cell: -23.50
Energy relative to the elements in meV per atom: -269

Cell lengths 6.525, 6.525, 9.124 Å; angles 114.87, 114.87, 33.12 degrees
Positions (direct):
La: 0.000 0.000 0.000
La: 0.050 0.050 0.590
La: 0.699 0.699 0.337
Tl: 0.341 0.341 0.674
Tl: 0.401 0.401 0.244
Tl: 0.714 0.714 0.942

[13]
The following is a DFT calculation (PBE-GGA) of a relaxed structure of Na6InI8.

Properties
Mass density in g cm⁻³: 3.80
Space group: Fm-3m (225)
Density of states at the Fermi level in states/eV/atom: 0.309
E in eV per cell: -39.28
Formation energy from raw total energies in eV/atom: -1.082

Cell lengths 9.217, 9.217, 9.217 Å; angles 60.00, 60.00, 60.00 degrees
Positions (direct):
Na: 0.000 0.000 0.500
Na: 0.000 0.500 0.000
Na: 0.000 0.500 0.500
Na: 0.500 0.000 0.000
Na: 0.500 0.000 0.500
Na: 0.500 0.500 0.000
In: 0.000 0.000 0.000
I: 0.244 0.244 0.756
I: 0.244 0.756 0.244
I: 0.244 0.756 0.756
I: 0.250 0.250 0.250
I: 0.750 0.750 0.750
I: 0.756 0.244 0.244
I: 0.756 0.244 0.756
I: 0.756 0.756 0.244

[14]
The following is a DFT calculation (PBE-GGA) of a relaxed structure of I.

Properties
Mass density in g cm⁻³: 4.01
Space group: Cmcm (63)
Density of states at the Fermi level in states/eV/atom: 0.000
Relative energy among the computed polymorphs in kJ per mole of atoms: 0.0
E in eV per cell: -6.20
Formation energy from raw total energies in eV/atom: 0.000

Cell lengths 4.915, 4.915, 9.304 Å; angles 90.00, 90.00, 69.12 degrees
Positions (direct):
I: 0.000 0.000 0.000
I: 0.000 0.000 0.500
I: 0.321 0.679 0.750
I: 0.679 0.321 0.250